A plane-wave DFT calculation with PBE was carried out for crystalline Tb2NdTm at its relaxed geometry.

The space group is R3m (No. 160, hexagonal axes) and the conventional cell measures 3.5907, 3.5907 and 34.7339 Å, with angles of 90.00, 90.00 and 120.00 degrees. The distinct sites, in fractional coordinates, are Tb at (0.0000, 0.0000, 0.0000), Tb at (0.0000, 0.0000, 0.1706), Nd at (0.0000, 0.0000, 0.4191) and Tm at (0.0000, 0.0000, 0.5852).

For the size of the total moment, the calculation gives 0.000 μB/atom. The crystal system is trigonal. The energy relative to the lowest polymorph listed for this composition is 0 meV per atom.

---

A plane-wave DFT calculation with PBE was carried out for crystalline TbNdTm at its relaxed geometry.

The space group is I4mm (No. 107) and the conventional cell measures 3.5807, 3.5807 and 15.1603 Å, with angles of 90.00, 90.00 and 90.00 degrees. The distinct sites, in fractional coordinates, are Tb at (0.0000, 0.0000, 0.0000), Nd at (0.0000, 0.0000, 0.6700) and Tm at (0.0000, 0.0000, 0.3374).

For the size of the total moment, the calculation gives 0.000 μB/atom. The crystal system is tetragonal. The energy relative to the lowest polymorph listed for this composition is 7 meV per atom.